VASP calculation (PBE) on crystalline Ho5TmN6 at its relaxed geometry.

Output
VASP energy = -8.20 eV per atom
E_form (uncorrected) = -1759 meV/atom

```
data_Ho5TmN6
_chemical_formula_sum 'Ho10 Tm2 N12'
_symmetry_space_group_name_H-M 'C 1 2/m 1'
_symmetry_Int_Tables_number 12
_cell_length_a 5.9617
_cell_length_b 10.3272
_cell_length_c 5.9617
_cell_angle_alpha 90.00
_cell_angle_beta 109.46
_cell_angle_gamma 90.00
loop_
_symmetry_equiv_pos_as_xyz
'x,y,z'
'-x,-y,-z'
'-x,y,-z'
'x,-y,z'
'x+1/2,y+1/2,z'
'-x+1/2,-y+1/2,-z'
'-x+1/2,y+1/2,-z'
'x+1/2,-y+1/2,z'
loop_
_atom_site_label
_atom_site_fract_x
_atom_site_fract_y
_atom_site_fract_z
Ho1 0.0000 0.0000 0.0000
Ho2 0.0000 0.1667 0.5000
Ho3 0.0000 0.3336 0.0000
Tm1 0.0000 0.5000 0.5000
N1 0.2488 0.3342 0.7490
N2 0.2485 0.5000 0.2510
```

VASP calculation (PBE) on crystalline Ho4Tm2N at its relaxed geometry.

Output
VASP energy = -5.34 eV per atom
E_form (uncorrected) = -261 meV/atom

```
data_Ho4Tm2N
_chemical_formula_sum 'Ho8 Tm4 N2'
_symmetry_space_group_name_H-M 'I 4/m m m'
_symmetry_Int_Tables_number 139
_symmetry_space_group_name_Hall '-I 4 2'
_cell_length_a 4.7427
_cell_length_b 4.7427
_cell_length_c 17.4162
_cell_angle_alpha 90.00
_cell_angle_beta 90.00
_cell_angle_gamma 90.00
loop_
_atom_site_label
_atom_site_fract_x
_atom_site_fract_y
_atom_site_fract_z
Ho1 0.0000 0.0000 0.1337
Ho2 0.0000 0.5000 0.0000
Tm1 0.0000 0.0000 0.3329
N1 0.0000 0.0000 0.0000
```

VASP calculation (PBE) on crystalline Ho2Tm3N4 at its relaxed geometry.

Output
VASP energy = -7.80 eV per atom
E_form (uncorrected) = -1589 meV/atom

```
data_Ho2Tm3N4
_chemical_formula_sum 'Ho4 Tm6 N8'
_symmetry_space_group_name_H-M 'C 1 2/m 1'
_symmetry_Int_Tables_number 12
_cell_length_a 11.4011
_cell_length_b 3.4313
_cell_length_c 8.4462
_cell_angle_alpha 90.00
_cell_angle_beta 119.60
_cell_angle_gamma 90.00
loop_
_symmetry_equiv_pos_as_xyz
'x,y,z'
'-x,-y,-z'
'-x,y,-z'
'x,-y,z'
'x+1/2,y+1/2,z'
'-x+1/2,-y+1/2,-z'
'-x+1/2,y+1/2,-z'
'x+1/2,-y+1/2,z'
loop_
_atom_site_label
_atom_site_fract_x
_atom_site_fract_y
_atom_site_fract_z
Ho1 0.1051 0.0000 0.3893
Tm1 0.0000 0.5000 0.0000
Tm2 0.2048 0.5000 0.8108
N1 0.1024 0.0000 0.9028
N2 0.1995 0.5000 0.3004
```

VASP calculation (PBE) on crystalline Ho3Tm2UN6 at its relaxed geometry.

Output
VASP energy = -8.72 eV per atom
E_form (uncorrected) = -1727 meV/atom

```
data_Ho3Tm2UN6
_chemical_formula_sum 'Ho6 Tm4 U2 N12'
_symmetry_space_group_name_H-M 'C 1 2/m 1'
_symmetry_Int_Tables_number 12
_cell_length_a 5.9275
_cell_length_b 10.2654
_cell_length_c 5.9340
_cell_angle_alpha 90.00
_cell_angle_beta 109.40
_cell_angle_gamma 90.00
loop_
_symmetry_equiv_pos_as_xyz
'x,y,z'
'-x,-y,-z'
'-x,y,-z'
'x,-y,z'
'x+1/2,y+1/2,z'
'-x+1/2,-y+1/2,-z'
'-x+1/2,y+1/2,-z'
'x+1/2,-y+1/2,z'
loop_
_atom_site_label
_atom_site_fract_x
_atom_site_fract_y
_atom_site_fract_z
Ho1 0.0000 0.0000 0.0000
Ho2 0.0000 0.3318 0.0000
Tm1 0.0000 0.1663 0.5000
U1 0.0000 0.5000 0.5000
N1 0.2400 0.3400 0.7399
N2 0.2402 0.5000 0.2630
```

VASP calculation (PBE) on crystalline Ho2TmUN4 at its relaxed geometry.

Output
VASP energy = -8.94 eV per atom
E_form (uncorrected) = -1664 meV/atom

```
data_Ho2TmUN4
_chemical_formula_sum 'Ho2 Tm1 U1 N4'
_symmetry_space_group_name_H-M 'P 1 2/m 1'
_symmetry_Int_Tables_number 10
_cell_length_a 5.9270
_cell_length_b 3.4319
_cell_length_c 5.9363
_cell_angle_alpha 90.00
_cell_angle_beta 108.98
_cell_angle_gamma 90.00
loop_
_symmetry_equiv_pos_as_xyz
'x,y,z'
'-x,-y,-z'
'-x,y,-z'
'x,-y,z'
loop_
_atom_site_label
_atom_site_fract_x
_atom_site_fract_y
_atom_site_fract_z
Ho1 0.0000 0.0000 0.0000
Ho2 0.5000 0.5000 0.0000
Tm1 0.0000 0.5000 0.5000
U1 0.5000 0.0000 0.5000
N1 0.2562 0.5000 0.2593
N2 0.2581 0.0000 0.7366
```

VASP calculation (PBE) on crystalline HoTmW2N6 at its relaxed geometry.

Output
VASP energy = -9.52 eV per atom
E_form (uncorrected) = -1026 meV/atom

```
data_HoTmW2N6
_chemical_formula_sum 'Ho4 Tm4 W8 N24'
_symmetry_space_group_name_H-M 'C 1 2/c 1'
_symmetry_Int_Tables_number 15
_cell_length_a 11.1351
_cell_length_b 9.5489
_cell_length_c 6.2442
_cell_angle_alpha 90.00
_cell_angle_beta 112.15
_cell_angle_gamma 90.00
loop_
_symmetry_equiv_pos_as_xyz
'x,y,z'
'-x,-y,-z'
'-x,y,-z+1/2'
'x,-y,z+1/2'
'x+1/2,y+1/2,z'
'-x+1/2,-y+1/2,-z'
'-x+1/2,y+1/2,-z+1/2'
'x+1/2,-y+1/2,z+1/2'
loop_
_atom_site_label
_atom_site_fract_x
_atom_site_fract_y
_atom_site_fract_z
Ho1 0.0000 0.2134 0.2500
Tm1 0.0000 0.4111 0.7500
W1 0.2097 0.0902 0.7270
N1 0.1090 0.3925 0.1523
N2 0.1307 0.2583 0.6648
N3 0.1434 0.0138 0.4260
```

Q: What is the VASP energy in the fifth record?
A: -8.94 eV per atom

Q: VASP energy of number 6 (HoTmW2N6)?
A: -9.52 eV per atom

Q: Among the records above, which one has the lowest VASP energy?
A: HoTmW2N6